Compound: AgMoRh
Source: Alexandria
Functional: PBE
Structure: optimized geometry

Cell lengths 6.060, 6.060, 6.060 Å; angles 90.00, 90.00, 90.00 degrees
Space group F-43m (No. 216)
Unique sites:
Ag 0.000 0.000 0.000 (multiplicity 4)
Mo 0.000 0.000 0.500 (multiplicity 4)
Rh 0.250 0.250 0.250 (multiplicity 4)

Summary:
The value obtained for the relative energy among the computed polymorphs is 577 meV/atom. As for the formation energy: 68.4 kJ/mol of atoms.